Compound: ErPuOsRh
Source: Alexandria via LeMat-Bulk
Functional: PBE
Structure: optimized geometry

Computed properties:
As for the energy of formation: -0.36 eV per atom. The raw total energy is -9.729 eV/atom. The value obtained for the magnetic moment is 4.22 Bohr magnetons per cell.

a = 4.8005 Å, b = 4.8005 Å, c = 4.8005 Å
α = 60.00°, β = 60.00°, γ = 60.00°
Last column: magnetic moment on the atom in μB.
Element x y z (fractional)
Pu (0.2500, 0.2500, 0.2500)  4.79
Rh (0.0000, 0.0000, 0.0000)  -0.31
Os (0.5000, 0.5000, 0.5000)  -0.45
Er (0.7500, 0.7500, 0.7500)  0.05

=====

Compound: LiHgBi
Source: Alexandria via LeMat-Bulk
Functional: PBE
Structure: optimized geometry

Computed properties:
As for the energy of formation: -0.21 eV per atom. The raw total energy is -2.244 eV/atom. The value obtained for the magnetic moment is 0.00 Bohr magnetons per cell.

a = 3.3238 Å, b = 5.7971 Å, c = 7.7695 Å
α = 90.00°, β = 90.00°, γ = 90.00°
Element x y z (fractional)
Li (0.5000, 0.7500, 0.7645)
Hg (0.0000, 0.0000, 0.5000)
Li (0.5000, 0.2500, 0.2355)
Bi (0.0000, 0.7500, 0.1014)
Hg (0.0000, 0.5000, 0.5000)
Bi (0.0000, 0.2500, 0.8986)

=====

Compound: La4NiPt
Source: Alexandria via LeMat-Bulk
Functional: PBE
Structure: optimized geometry

Computed properties:
The energy above the most stable polymorph in this dataset is 1061 meV/atom. As for the energy of formation: 0.54 eV per atom. The raw total energy is -4.714 eV/atom. The value obtained for the magnetic moment is 0.00 Bohr magnetons per cell.

a = 6.1651 Å, b = 6.1651 Å, c = 6.1651 Å
α = 60.00°, β = 60.00°, γ = 60.00°
Element x y z (fractional)
La (0.3747, 0.8759, 0.3747)
La (0.3747, 0.3747, 0.3747)
La (0.3747, 0.3747, 0.8759)
Pt (0.0000, 0.0000, 0.0000)
La (0.8759, 0.3747, 0.3747)
Ni (0.7500, 0.7500, 0.7500)